First-principles (PBE) data for crystalline TePtPb2O6 at its relaxed geometry, as listed in the Open Quantum Materials Database.

a b c (Å): 5.801 5.801 5.801
angles (deg): 120.08 120.08 89.86
Fractional coordinates of all 10 atoms:
Pb: 0.250 0.750 0.500
Pb: 0.750 0.250 0.500
O: 0.248 0.248 0.000
O: 0.751 0.249 0.000
O: 0.752 0.752 0.000
O: 0.249 0.751 0.000
O: 0.249 0.249 0.497
O: 0.751 0.751 0.503
Te: 0.500 0.500 0.000
Pt: 0.000 0.000 0.000

## Properties
total energy: -5.40 eV per atom
symmetry: No. 139

=====

First-principles (PBE) data for crystalline GdHoS2 at its relaxed geometry, as listed in the Open Quantum Materials Database.

a b c (Å): 3.912 3.912 5.535
angles (deg): 90.00 90.00 90.00
Fractional coordinates of all 4 atoms:
Ho: 0.500 0.500 0.500
Gd: 0.000 0.000 0.000
S: 0.500 0.500 0.000
S: 0.000 0.000 0.500

## Properties
total energy: -6.37 eV per atom
symmetry: No. 123

=====

First-principles (PBE) data for crystalline Pr3Si2Ge2Ir2Pd2 at its relaxed geometry, as listed in the Open Quantum Materials Database.

a b c (Å): 12.999 12.999 12.999
angles (deg): 161.86 161.14 26.29
Fractional coordinates of all 11 atoms:
Ge: 0.950 0.450 0.500
Ge: 0.050 0.550 0.500
Ir: 0.250 0.750 0.500
Ir: 0.750 0.250 0.500
Si: 0.700 0.700 0.000
Si: 0.300 0.300 0.000
Pd: 0.397 0.397 0.000
Pd: 0.603 0.603 0.000
Pr: 0.852 0.852 0.000
Pr: 0.500 0.000 0.500
Pr: 0.148 0.148 0.000

## Properties
total energy: -6.67 eV per atom
symmetry: No. 71

=====

First-principles (PBE) data for crystalline Nd2Ho2Ni at its relaxed geometry, as listed in the Open Quantum Materials Database.

a b c (Å): 5.433 5.433 10.749
angles (deg): 90.00 90.00 120.00
Fractional coordinates of all 10 atoms:
Nd: 0.667 0.333 0.903
Nd: 0.333 0.667 0.097
Nd: 0.667 0.333 0.597
Nd: 0.333 0.667 0.403
Ho: 0.000 0.000 0.000
Ho: 0.333 0.667 0.750
Ho: 0.000 0.000 0.500
Ho: 0.667 0.333 0.250
Ni: 0.000 0.000 0.250
Ni: 0.000 0.000 0.750

## Properties
total energy: -4.81 eV per atom
symmetry: No. 194

=====

First-principles (PBE) data for crystalline LiAgWS3 at its relaxed geometry, as listed in the Open Quantum Materials Database.

a b c (Å): 7.238 7.238 9.359
angles (deg): 90.00 90.00 153.36
Fractional coordinates of all 12 atoms:
Ag: 0.193 0.807 0.250
Ag: 0.807 0.193 0.750
S: 0.131 0.869 0.494
S: 0.506 0.494 0.750
S: 0.869 0.131 0.506
S: 0.131 0.869 0.006
S: 0.494 0.506 0.250
S: 0.869 0.131 0.994
W: 0.500 0.500 0.000
W: 0.500 0.500 0.500
Li: 0.133 0.867 0.750
Li: 0.867 0.133 0.250

## Properties
total energy: -5.39 eV per atom
symmetry: No. 63

=====

First-principles (PBE) data for crystalline IrOF at its relaxed geometry, as listed in the Open Quantum Materials Database.

a b c (Å): 5.250 4.726 5.701
angles (deg): 89.99 68.93 90.04
Fractional coordinates of all 12 atoms:
Ir: 0.243 0.489 0.594
Ir: 0.757 0.988 0.906
Ir: 0.243 0.012 0.094
Ir: 0.757 0.511 0.406
O: 0.159 0.144 0.799
O: 0.841 0.856 0.201
O: 0.841 0.644 0.701
O: 0.159 0.356 0.299
F: 0.308 0.636 0.901
F: 0.309 0.864 0.401
F: 0.692 0.364 0.099
F: 0.691 0.136 0.599

## Properties
total energy: -5.95 eV per atom
energy above the most stable polymorph in this dataset: 0.0000 eV/atom
symmetry: No. 14

=====

First-principles (PBE) data for crystalline SmZnInTe3 at its relaxed geometry, as listed in the Open Quantum Materials Database.

a b c (Å): 9.044 4.619 17.854
angles (deg): 90.00 90.00 90.00
Fractional coordinates of all 24 atoms:
Zn: 0.866 0.750 0.142
Zn: 0.134 0.250 0.858
Zn: 0.634 0.250 0.642
Zn: 0.366 0.750 0.358
Te: 0.877 0.250 0.556
Te: 0.999 0.750 0.910
Te: 0.501 0.250 0.410
Te: 0.499 0.750 0.590
Te: 0.806 0.750 0.286
Te: 0.194 0.250 0.714
Te: 0.001 0.250 0.090
Te: 0.694 0.250 0.786
Te: 0.123 0.750 0.444
Te: 0.306 0.750 0.214
Te: 0.623 0.750 0.056
Te: 0.377 0.250 0.944
In: 0.572 0.250 0.219
In: 0.928 0.750 0.719
In: 0.428 0.750 0.781
In: 0.072 0.250 0.281
Sm: 0.256 0.750 0.046
Sm: 0.244 0.250 0.546
Sm: 0.744 0.250 0.954
Sm: 0.756 0.750 0.454

## Properties
total energy: -3.72 eV per atom
energy above the most stable polymorph in this dataset: 0.0878 eV/atom
symmetry: No. 62

=====

First-principles (PBE) data for crystalline LiPuTlTe3 at its relaxed geometry, as listed in the Open Quantum Materials Database.

a b c (Å): 7.761 7.761 11.571
angles (deg): 90.00 90.00 146.24
Each line ends with the local moment (μB).
Fractional coordinates of all 12 atoms:
Te: 0.134 0.866 0.950  -0.20
Te: 0.134 0.866 0.550  -0.20
Te: 0.866 0.134 0.450  -0.20
Te: 0.430 0.570 0.750  -0.16
Te: 0.570 0.430 0.250  -0.16
Te: 0.866 0.134 0.050  -0.20
Tl: 0.248 0.752 0.250  -0.02
Tl: 0.752 0.248 0.750  -0.02
Pu: 0.500 0.500 0.500  4.89
Pu: 0.500 0.500 0.000  4.89
Li: 0.965 0.035 0.250  -0.01
Li: 0.035 0.965 0.750  -0.01

## Properties
total energy: -5.40 eV per atom
symmetry: No. 63